1.
A crystal of Ca2LaZr relaxed with PBEsol, computed with meta-GGA SCAN.

Cell and atoms, written as CIF:
```
data_Ca2LaZr
_symmetry_space_group_name_H-M 'P 1'
_symmetry_Int_Tables_number 1
_cell_length_a 4.8241
_cell_length_b 4.8241
_cell_length_c 5.3841
_cell_angle_alpha 90.00
_cell_angle_beta 90.00
_cell_angle_gamma 90.00
loop_
_symmetry_equiv_pos_as_xyz
'x,y,z'
loop_
_atom_site_label
_atom_site_type_symbol
_atom_site_fract_x
_atom_site_fract_y
_atom_site_fract_z
La1 La 0.5000 0.5000 0.5000
Ca1 Ca 0.5000 0.0000 0.0000
Ca2 Ca 0.0000 0.5000 0.0000
Zr1 Zr 0.0000 0.0000 0.5000
```

Results
- E_tot: -22.8984 eV per atom
- Space-group type: No. 123
- Energy relative to the elements: 37 kJ per mole of atoms
- M_tot: 2.04 μB per formula unit

2.
A crystal of CaLa2Zr relaxed with PBEsol, computed with meta-GGA SCAN.

Cell and atoms, written as CIF:
```
data_CaLa2Zr
_symmetry_space_group_name_H-M 'P 1'
_symmetry_Int_Tables_number 1
_cell_length_a 4.6166
_cell_length_b 5.1348
_cell_length_c 5.1348
_cell_angle_alpha 90.00
_cell_angle_beta 90.00
_cell_angle_gamma 90.00
loop_
_symmetry_equiv_pos_as_xyz
'x,y,z'
loop_
_atom_site_label
_atom_site_type_symbol
_atom_site_fract_x
_atom_site_fract_y
_atom_site_fract_z
Ca1 Ca 0.5000 0.0000 0.0000
La1 La 0.0000 0.0000 0.5000
Zr1 Zr 0.5000 0.5000 0.5000
La2 La 0.0000 0.5000 0.0000
```

Results
- E_tot: -31.3754 eV per atom
- Space-group type: No. 123
- Energy relative to the elements: 26 kJ per mole of atoms
- M_tot: 0.00 μB per formula unit

3.
A crystal of CaLa2Zr relaxed with PBEsol, computed with meta-GGA SCAN.

Cell and atoms, written as CIF:
```
data_CaLa2Zr
_symmetry_space_group_name_H-M 'P 1'
_symmetry_Int_Tables_number 1
_cell_length_a 3.5063
_cell_length_b 6.0414
_cell_length_c 6.0414
_cell_angle_alpha 107.62
_cell_angle_beta 90.00
_cell_angle_gamma 90.00
loop_
_symmetry_equiv_pos_as_xyz
'x,y,z'
loop_
_atom_site_label
_atom_site_type_symbol
_atom_site_fract_x
_atom_site_fract_y
_atom_site_fract_z
La1 La 0.0000 0.0000 0.5000
Zr1 Zr 0.5000 0.0000 0.0000
La2 La 0.0000 0.5000 0.0000
Ca1 Ca 0.5000 0.5000 0.5000
```

Results
- E_tot: -31.3843 eV per atom
- Space-group type: No. 65
- Energy relative to the elements: 25 kJ per mole of atoms
- M_tot: 0.00 μB per formula unit

Among the records above, which one has the highest M_tot? Ca2LaZr